1.
! HoNpSe2O | Alexandria via LeMat-Bulk | PBE-GGA | optimized geometry; values from VASP
! space group = P4/nmm (129)
! electronic total energy = -7.986 eV per atom
&SYSTEM
  ibrav = 0, nat = 10, ntyp = 4
/
ATOMIC_SPECIES
O 16.00 O.upf
Se 78.96 Se.upf
Np 237.00 Np.upf
Ho 164.93 Ho.upf
ATOMIC_POSITIONS crystal
O 0.500 0.500 0.500
O 0.000 0.000 0.500
Se 0.500 0.000 0.311
Se 0.500 0.000 0.907
Se 0.000 0.500 0.093
Se 0.000 0.500 0.689
Np 0.500 0.000 0.584
Np 0.000 0.500 0.416
Ho 0.000 0.500 0.880
Ho 0.500 0.000 0.120
CELL_PARAMETERS angstrom
-2.533 -2.030 2.282
2.478 -3.099 -0.007
6.405 5.095 11.644

2.
! Cd2TcF8 | Alexandria via LeMat-Bulk | PBE-GGA | optimized geometry; values from VASP
! space group = P-3m1 (164)
! electronic total energy = -4.552 eV per atom
&SYSTEM
  ibrav = 0, nat = 11, ntyp = 3
/
ATOMIC_SPECIES
F 19.00 F.upf
Cd 112.41 Cd.upf
Tc 98.00 Tc.upf
ATOMIC_POSITIONS crystal
F 0.257 0.859 0.141
F 0.257 0.859 0.718
F 0.241 0.333 0.667
F 0.743 0.718 0.859
F 0.759 0.667 0.333
F 0.743 0.141 0.282
F 0.257 0.282 0.141
F 0.743 0.141 0.859
Cd 0.258 0.667 0.333
Cd 0.742 0.333 0.667
Tc 0.500 0.000 0.000
CELL_PARAMETERS angstrom
4.367 0.000 0.000
0.000 5.857 -3.382
0.000 0.000 6.763

3.
! NbC2Se | Alexandria via LeMat-Bulk | PBE-GGA | optimized geometry; values from VASP
! space group = I-42d (122)
! electronic total energy = -6.879 eV per atom
&SYSTEM
  ibrav = 0, nat = 8, ntyp = 3
/
ATOMIC_SPECIES
C 12.01 C.upf
Se 78.96 Se.upf
Nb 92.91 Nb.upf
ATOMIC_POSITIONS crystal
C 0.631 0.125 0.250
C 0.119 0.625 0.250
C 0.875 0.881 0.750
C 0.375 0.369 0.750
Se 0.500 0.500 0.000
Se 0.250 0.750 0.500
Nb 0.000 0.000 0.000
Nb 0.750 0.250 0.500
CELL_PARAMETERS angstrom
4.986 0.000 0.000
0.000 4.986 0.000
2.493 2.493 4.762